1.
Entry from the Alexandria database: a geometry-optimized CePmSc6 structure (PBE).

Cell: 5.3626 6.7510 6.7510 Å, 119.98 90.00 90.00°
Each line ends with the local moment (μB).
Sites, in units of the cell vectors:
Sc  0.5000  0.9119  0.0881  0.04
Sc  0.0000  0.5841  0.9180  0.01
Ce  0.5000  0.4168  0.5832  0.33
Pm  0.0000  0.0833  0.9167  0.01
Sc  0.5000  0.4253  0.0879  0.04
Sc  0.5000  0.9121  0.5747  0.04
Sc  0.0000  0.5843  0.4157  0.01
Sc  0.0000  0.0820  0.4159  0.01

Properties
DFT formation energy in kJ/mol of atoms: 4.8
Symmetry: P-6m2

2.
Entry from the Alexandria database: a geometry-optimized CrIn2Si structure (PBE).

Cell: 8.7989 8.7989 8.7989 Å, 21.95 21.95 21.95°
Each line ends with the local moment (μB).
Sites, in units of the cell vectors:
Si  0.2500  0.2500  0.2500  0.01
In  0.5007  0.5007  0.5007  -0.03
In  0.9993  0.9993  0.9993  -0.03
Cr  0.7500  0.7500  0.7500  3.62

Properties
Formation energy from raw total energies in meV/atom: 489
Symmetry: R-3m

3.
Entry from the Alexandria database: a geometry-optimized NaSrCa3 structure (PBE).

Cell: 6.9959 12.3182 12.3182 Å, 55.21 86.69 86.69°
Sites, in units of the cell vectors:
Ca  0.6338  0.3850  0.2090
Ca  0.3662  0.6150  0.7910
Ca  0.6117  0.0859  0.5769
Ca  0.8662  0.7910  0.6150
Sr  0.7500  0.7329  0.2671
Ca  0.8883  0.4231  0.9141
Ca  0.8693  0.0675  0.2387
Ca  0.3693  0.2387  0.0675
Ca  0.1307  0.9325  0.7613
Sr  0.2500  0.9017  0.0983
Sr  0.7500  0.0983  0.9017
Ca  0.6307  0.7613  0.9325
Na  0.1455  0.6294  0.5051
Ca  0.1338  0.2090  0.3850
Na  0.6455  0.5051  0.6294
Sr  0.2500  0.2671  0.7329
Ca  0.1117  0.5769  0.0859
Ca  0.3883  0.9141  0.4231
Na  0.3545  0.4949  0.3706
Na  0.8545  0.3706  0.4949

Properties
DFT formation energy in kJ/mol of atoms: 5.6
Symmetry: C2/c